# 1
Compound: KNiC2
Source: Alexandria via LeMat-Bulk
Functional: PBE
Structure: relaxed

Geometry as extended XYZ:
```
16
Lattice="4.706 0.000 0.000 0.000 4.706 0.000 0.000 0.000 11.140" Properties=species:S:1:pos:R:3 pbc="T T T"
K 0.000 1.176 4.178
K 0.000 3.529 6.963
K 2.353 1.176 1.393
K 2.353 3.529 9.748
Ni 0.000 1.176 9.748
Ni 0.000 3.529 1.393
Ni 2.353 1.176 6.963
Ni 2.353 3.529 4.178
C 0.000 0.000 0.000
C 0.000 2.353 0.000
C 1.176 1.176 8.355
C 1.176 3.529 2.785
C 2.353 0.000 5.570
C 2.353 2.353 5.570
C 3.529 1.176 8.355
C 3.529 3.529 2.785
```

DOS(E_F) = 2.86 states/eV/f.u.
offset from the most stable computed form = 0 meV/atom
energy of formation = 1.212 eV/atom

=====

# 2
Compound: CoTeRu2
Source: Alexandria via LeMat-Bulk
Functional: PBE
Structure: relaxed

Geometry as extended XYZ:
```
4
Lattice="3.000 0.000 0.000 0.000 4.477 0.000 -0.247 0.000 4.619" Properties=species:S:1:pos:R:3 pbc="T T T"
Co 0.000 0.000 0.000
Te 1.377 0.000 2.309
Ru 0.433 2.238 3.516
Ru 2.320 2.238 1.103
```

DOS(E_F) = 5.98 states/eV/f.u.
formation energy from raw total energies = 0.5559 eV/atom

=====

# 3
Compound: Tb4TmIn2
Source: Alexandria via LeMat-Bulk
Functional: PBE
Structure: relaxed

Geometry as extended XYZ:
```
14
Lattice="6.209 0.000 0.000 0.000 10.669 0.000 -2.599 0.000 6.446" Properties=species:S:1:pos:R:3 pbc="T T T"
Tb -2.587 1.763 6.445
Tb -1.288 3.572 3.222
Tb 0.495 7.638 6.442
Tb 1.795 8.365 3.219
Tb 1.816 2.304 3.227
Tb 3.115 3.030 0.004
Tb 4.898 7.097 3.224
Tb 6.198 8.906 0.001
Tm -1.299 0.000 3.223
Tm 0.000 5.334 0.000
In 2.445 10.666 1.257
In 1.146 5.338 4.480
In 1.166 0.003 5.189
In 2.465 5.331 1.966
```

DOS(E_F) = 8.47 states/eV/f.u.
energy of formation = -0.100 eV/atom

=====

# 4
Compound: LiTbNdCd
Source: Alexandria via LeMat-Bulk
Functional: PBE
Structure: relaxed

Geometry as extended XYZ:
```
16
Lattice="7.571 0.000 0.000 0.000 7.571 0.000 0.000 0.000 7.571" Properties=species:S:1:pos:R:3 pbc="T T T"
Li 0.000 0.000 0.000
Li 0.000 3.785 3.785
Li 3.785 0.000 3.785
Li 3.785 3.785 0.000
Tb 1.893 1.893 5.678
Tb 1.893 5.678 1.893
Tb 5.678 1.893 1.893
Tb 5.678 5.678 5.678
Nd 1.893 1.893 1.893
Nd 1.893 5.678 5.678
Nd 5.678 1.893 5.678
Nd 5.678 5.678 1.893
Cd 0.000 0.000 3.785
Cd 0.000 3.785 0.000
Cd 3.785 0.000 0.000
Cd 3.785 3.785 3.785
```

DOS(E_F) = 5.92 states/eV/f.u.
energy of formation = -0.116 eV/atom

=====

# 5
Compound: CaIn2Bi5
Source: Alexandria via LeMat-Bulk
Functional: PBE
Structure: relaxed

Geometry as extended XYZ:
```
16
Lattice="8.380 0.000 0.000 0.000 8.380 0.000 0.000 0.000 6.994" Properties=species:S:1:pos:R:3 pbc="T T T"
Ca 0.000 0.000 0.000
Ca 4.190 4.190 3.497
In 0.000 4.190 0.000
In 0.000 4.190 3.497
In 4.190 0.000 0.000
In 4.190 0.000 3.497
Bi 0.000 0.000 3.497
Bi 2.095 2.095 1.748
Bi 2.095 2.095 5.245
Bi 2.095 6.285 1.748
Bi 2.095 6.285 5.245
Bi 4.190 4.190 0.000
Bi 6.285 2.095 1.748
Bi 6.285 2.095 5.245
Bi 6.285 6.285 1.748
Bi 6.285 6.285 5.245
```

DOS(E_F) = 6.07 states/eV/f.u.
energy of formation = -0.137 eV/atom

=====

# 6
Compound: CeThMg
Source: Alexandria via LeMat-Bulk
Functional: PBE
Structure: relaxed

Geometry as extended XYZ:
```
3
Lattice="3.375 0.000 0.000 -1.688 2.923 0.000 0.000 0.000 8.745" Properties=species:S:1:pos:R:3 pbc="T T T"
Ce 0.000 0.000 0.000
Th 1.688 0.974 2.971
Mg 0.000 1.949 5.870
```

DOS(E_F) = 6.10 states/eV/f.u.
offset from the most stable computed form = 41 meV/atom
energy of formation = 0.114 eV/atom

=====

# 7
Compound: InGeOs2Pt
Source: Alexandria via LeMat-Bulk
Functional: PBE
Structure: relaxed

Geometry as extended XYZ:
```
5
Lattice="4.900 0.000 0.000 0.000 4.900 0.000 0.000 0.000 4.607" Properties=species:S:1:pos:R:3 pbc="T T T"
In 0.000 0.000 0.000
Ge 2.450 2.450 0.000
Os 0.000 2.450 2.303
Os 2.450 0.000 2.303
Pt 2.450 2.450 2.303
```

DOS(E_F) = 6.83 states/eV/f.u.
offset from the most stable computed form = 0 meV/atom
energy of formation = 1.653 eV/atom

=====

# 8
Compound: AlIrPd
Source: Alexandria via LeMat-Bulk
Functional: PBE
Structure: relaxed

Geometry as extended XYZ:
```
12
Lattice="2.899 0.000 0.000 0.000 2.899 0.000 0.000 0.000 21.583" Properties=species:S:1:pos:R:3 pbc="T T T"
Al 0.000 0.000 2.769
Al 0.000 0.000 18.814
Al 1.449 1.449 8.022
Al 1.449 1.449 13.561
Ir 0.000 0.000 9.523
Ir 0.000 0.000 12.060
Ir 1.449 1.449 1.269
Ir 1.449 1.449 20.314
Pd 0.000 0.000 6.426
Pd 0.000 0.000 15.158
Pd 1.449 1.449 4.366
Pd 1.449 1.449 17.217
```

DOS(E_F) = 3.07 states/eV/f.u.
offset from the most stable computed form = 86 meV/atom
energy of formation = -0.470 eV/atom